Model w:
First-principles (PBE) data for a relaxed LiTe2OsI crystal, as listed in the Alexandria database.

The structure in extended XYZ format:
```
5
Lattice="5.1736 0.0000 0.0000 0.0000 5.1736 0.0000 0.0000 0.0000 6.0008" Properties=species:S:1:pos:R:3 pbc="T T T"
I 0.0000 0.0000 3.0004
Te 0.0000 2.5868 0.0000
Te 2.5868 0.0000 0.0000
Os 0.0000 0.0000 0.0000
Li 2.5868 2.5868 3.0004
```

Results
As for the space group: No. 123. The crystal system is tetragonal.

Model x:
First-principles (PBE) data for a relaxed LiTe2OsI crystal, as listed in the Alexandria database.

The structure in extended XYZ format:
```
5
Lattice="-3.9925 -0.6555 -2.6749 2.7363 -1.4778 -3.7221 -0.3230 -4.7348 1.6424" Properties=species:S:1:pos:R:3 pbc="T T T"
I -0.1615 -2.3674 0.8212
Te 1.3682 -0.7389 -1.8610
Te -1.9963 -0.3277 -1.3375
Os -0.7896 -3.4340 -2.3773
Li 0.0000 0.0000 0.0000
```

Results
As for the space group: No. 123. The crystal system is tetragonal.

What should be chosen as the least stable of them? Choose model x.

Model w:
First-principles (PBE) data for a relaxed LiTeOsI2 crystal, as listed in the Alexandria database.

The structure in extended XYZ format:
```
5
Lattice="-2.4934 3.4275 -2.9415 -4.1905 -0.5018 2.9674 1.7708 4.0174 3.1801" Properties=species:S:1:pos:R:3 pbc="T T T"
I -2.0952 -0.2509 1.4837
I -1.2467 1.7138 -1.4707
Te 0.8854 2.0087 1.5901
Os -2.4565 3.4715 1.6030
Li 0.0000 0.0000 0.0000
```

Results
As for the space group: No. 123. The crystal system is tetragonal.

Model x:
First-principles (PBE) data for a relaxed LiTeOsI2 crystal, as listed in the Alexandria database.

The structure in extended XYZ format:
```
5
Lattice="5.7904 0.0000 0.0000 0.0000 5.7904 0.0000 0.0000 0.0000 4.9608" Properties=species:S:1:pos:R:3 pbc="T T T"
I 0.0000 2.8952 0.0000
I 2.8952 0.0000 0.0000
Te 0.0000 0.0000 2.4804
Os 0.0000 0.0000 0.0000
Li 2.8952 2.8952 2.4804
```

Results
As for the space group: No. 123. The crystal system is tetragonal.

What should be chosen as the least stable of them? Choose model w.

Model w:
First-principles (PBE) data for a relaxed LiP2I crystal, as listed in the Alexandria database.

The structure in extended XYZ format:
```
4
Lattice="0.0000 3.4187 3.4187 3.4187 0.0000 3.4187 3.4187 3.4187 0.0000" Properties=species:S:1:pos:R:3 pbc="T T T"
I 3.4187 3.4187 3.4187
P 1.7093 1.7093 1.7093
P 5.1280 5.1280 5.1280
Li 0.0000 0.0000 0.0000
```

Results
As for the space group: No. 225. The crystal system is cubic.

Model x:
First-principles (PBE) data for a relaxed LiP2I crystal, as listed in the Alexandria database.

The structure in extended XYZ format:
```
8
Lattice="-3.1166 -1.3672 -1.5238 0.9446 -3.4227 1.1390 -8.7492 -0.0069 13.3385" Properties=species:S:1:pos:R:3 pbc="T T T"
I 0.0000 0.0000 0.0000
I -6.4759 -1.8845 5.8112
P -3.7611 -1.1717 2.6498
P -2.2425 -2.4241 3.7309
P -7.2988 -2.0824 9.9531
P -8.5400 -3.9151 9.5736
Li -1.0860 -2.3949 -0.1924
Li -4.4453 -2.9122 7.1426
```

Results
As for the space group: No. 122. The crystal system is tetragonal.

What should be chosen as the least stable of them? Choose model w.

Model w:
First-principles (PBE) data for a relaxed Li3PI crystal, as listed in the Alexandria database.

The structure in extended XYZ format:
```
5
Lattice="-2.6898 3.7333 -1.4648 -2.0825 0.2071 4.3518 3.4273 3.0558 1.4947" Properties=species:S:1:pos:R:3 pbc="T T T"
I -0.6725 3.4981 2.1909
P 0.0000 0.0000 0.0000
Li -1.0412 0.1035 2.1759
Li 1.7136 1.5279 0.7473
Li -1.3449 1.8666 -0.7324
```

Results
As for the space group: No. 221. The crystal system is cubic.

Model x:
First-principles (PBE) data for a relaxed Li3PI crystal, as listed in the Alexandria database.

The structure in extended XYZ format:
```
5
Lattice="5.0566 0.0000 0.0000 0.0000 5.0566 0.0000 0.0000 0.0000 5.0566" Properties=species:S:1:pos:R:3 pbc="T T T"
I 0.0000 0.0000 0.0000
P 2.5283 2.5283 2.5283
Li 0.0000 2.5283 0.0000
Li 0.0000 0.0000 2.5283
Li 2.5283 0.0000 0.0000
```

Results
As for the space group: No. 221. The crystal system is cubic.

What should be chosen as the least stable of them? Choose model x.

Model w:
First-principles (PBE) data for a relaxed LiSbPI2 crystal, as listed in the Alexandria database.

The structure in extended XYZ format:
```
5
Lattice="-4.0482 -2.1879 -3.6639 3.9872 -3.7391 -2.1725 -1.3202 -3.4537 3.5212" Properties=species:S:1:pos:R:3 pbc="T T T"
I 1.9936 -1.8696 -1.0863
I -2.0241 -1.0940 -1.8319
Sb -0.6601 -1.7268 1.7606
Li -0.6906 -4.6904 -1.1576
P 0.0000 0.0000 0.0000
```

Results
As for the space group: No. 123. The crystal system is tetragonal.

Model x:
First-principles (PBE) data for a relaxed LiSbPI2 crystal, as listed in the Alexandria database.

The structure in extended XYZ format:
```
5
Lattice="5.1516 0.0000 0.0000 0.0000 5.1516 0.0000 0.0000 0.0000 5.2895" Properties=species:S:1:pos:R:3 pbc="T T T"
I 0.0000 2.5758 0.0000
I 2.5758 0.0000 0.0000
Sb 0.0000 0.0000 2.6447
Li 0.0000 0.0000 0.0000
P 2.5758 2.5758 2.6447
```

Results
As for the space group: No. 123. The crystal system is tetragonal.

What should be chosen as the least stable of them? Choose model x.

Model w:
First-principles (PBE) data for a relaxed LiPaI4 crystal, as listed in the Alexandria database.

The structure in extended XYZ format:
```
6
Lattice="-3.9430 5.5236 -2.0652 -5.8224 -3.2524 2.4174 5.7132 1.5623 5.4541" Properties=species:S:1:pos:R:3 pbc="T T T"
Li -1.5562 4.1108 1.7825
Pa -4.8827 1.1356 0.1761
I -5.2667 -0.3232 2.7849
I -4.0618 4.0136 0.5290
I 3.0337 1.3011 4.1215
I -1.8094 2.6756 4.1773
```

Results
As for the space group: No. 82. The crystal system is tetragonal.

Model x:
First-principles (PBE) data for a relaxed LiPaI4 crystal, as listed in the Alexandria database.

The structure in extended XYZ format:
```
6
Lattice="4.1269 0.0000 0.0000 -2.0635 8.1412 -2.4036 0.0000 -0.0574 7.7379" Properties=species:S:1:pos:R:3 pbc="T T T"
Li 2.0635 -0.0287 3.8690
Pa 0.0000 0.0000 0.0000
I 2.0635 6.4296 2.7288
I 0.0000 1.6542 2.6055
I 0.0000 6.1800 -1.0879
I 2.0635 1.9038 6.4222
```

Results
As for the space group: No. 12. The crystal system is monoclinic.

What should be chosen as the least stable of them? Choose model w.

Model w:
First-principles (PBE) data for a relaxed LiPb2I2 crystal, as listed in the Alexandria database.

The structure in extended XYZ format:
```
10
Lattice="7.9867 0.0000 0.0000 0.0000 7.9867 0.0000 0.0000 0.0000 5.4622" Properties=species:S:1:pos:R:3 pbc="T T T"
Pb 2.5854 6.5787 0.0000
Pb 6.5787 5.4013 0.0000
Pb 5.4013 1.4079 0.0000
Pb 1.4079 2.5854 0.0000
I 1.4339 5.4273 2.7311
I 5.4273 6.5527 2.7311
I 6.5527 2.5594 2.7311
I 2.5594 1.4339 2.7311
Li 0.0000 0.0000 0.0000
Li 3.9933 3.9933 0.0000
```

Results
As for the space group: No. 127. The crystal system is tetragonal.

Model x:
First-principles (PBE) data for a relaxed LiPb2I2 crystal, as listed in the Alexandria database.

The structure in extended XYZ format:
```
5
Lattice="6.6504 0.0000 0.0000 0.0000 6.6504 0.0000 3.3252 3.3252 4.3347" Properties=species:S:1:pos:R:3 pbc="T T T"
Pb 3.3252 3.3252 1.5066
Pb 6.6504 6.6504 2.8281
I 6.6504 3.3252 2.1674
I 3.3252 6.6504 2.1674
Li 0.0000 0.0000 0.0000
```

Results
As for the space group: No. 139. The crystal system is tetragonal.

What should be chosen as the least stable of them? Choose model w.

Model w:
First-principles (PBE) data for a relaxed LiPb2I5 crystal, as listed in the Alexandria database.

The structure in extended XYZ format:
```
32
Lattice="-3.6750 3.0998 6.2073 -10.2465 -3.2923 -4.4223 5.9222 -11.2179 9.1082" Properties=species:S:1:pos:R:3 pbc="T T T"
Li 1.1236 -4.0591 7.6577
Li 0.0000 0.0000 0.0000
Li -3.9996 -5.7052 5.4466
Li -5.1232 -1.6461 -2.2111
Pb 2.4678 -8.6464 10.7133
Pb 1.3212 -4.5679 3.0944
Pb -0.5458 -8.2722 3.8431
Pb -5.3183 -1.1354 2.3485
Pb -2.6810 -10.2750 8.5447
Pb -7.4534 -3.1382 7.0501
Pb -9.3205 -6.8425 7.7988
Pb -10.4671 -2.7640 0.1799
I 2.2484 -6.7468 8.1964
I -0.9517 -4.5279 9.7981
I 0.0373 -1.7704 2.3756
I -0.8009 -9.2946 10.9654
I -0.7868 -5.4266 5.4482
I -3.4302 0.6739 4.4287
I -0.3380 -10.1835 6.3523
I -4.2432 -3.2798 7.2241
I 2.7082 -11.4858 9.1006
I -3.9484 -7.4700 7.8252
I -4.0509 -3.9404 3.0680
I -10.7074 0.0754 1.7926
I -3.7561 -8.1306 3.6691
I -7.6613 -1.2269 4.5409
I -4.5691 -12.0843 6.4644
I -7.2125 -5.9838 5.4450
I -7.1983 -2.1158 -0.0722
I -8.0365 -9.6400 8.5176
I -7.0475 -6.8825 1.0951
I -10.2477 -4.6636 2.6968
```

Results
As for the space group: No. 14. The crystal system is monoclinic.

Model x:
First-principles (PBE) data for a relaxed LiPb2I5 crystal, as listed in the Alexandria database.

The structure in extended XYZ format:
```
16
Lattice="-3.1265 -3.6972 4.2344 1.8659 -3.8155 -6.8393 13.3903 -4.3562 6.0834" Properties=species:S:1:pos:R:3 pbc="T T T"
Li 8.6541 -8.3856 3.9537
Li 3.4755 -3.4833 -0.4752
Pb 4.5157 -7.7379 1.4636
Pb -0.5217 -6.0991 -0.8250
Pb 7.6139 -4.1310 2.0149
Pb 12.6514 -5.7699 4.3035
I 10.4370 -10.7112 3.2395
I 7.0612 -9.6129 1.7059
I 5.7840 -5.5181 -0.5473
I 1.3066 -4.0615 -2.5815
I 1.9295 -5.6553 1.3723
I 10.2001 -6.2136 2.1061
I 6.3456 -6.3508 4.0258
I 10.8231 -7.8074 6.0600
I 1.6927 -1.1578 0.2389
I 5.0685 -2.2560 1.7726
```

Results
As for the space group: No. 63. The crystal system is orthorhombic.

What should be chosen as the least stable of them? Choose model x.

Model w:
First-principles (PBE) data for a relaxed LiTePbI crystal, as listed in the Alexandria database.

The structure in extended XYZ format:
```
4
Lattice="-2.7419 0.4670 -3.4887 -3.4522 -2.7798 -0.5119 -6.4380 3.9117 2.7304" Properties=species:S:1:pos:R:3 pbc="T T T"
Li -5.0584 2.4345 1.4484
Te -8.1120 -0.2593 -2.2184
Pb -5.0477 -0.5586 -1.8137
I -7.9724 2.5730 0.9042
```

Results
As for the space group: No. 160. The crystal system is trigonal.

Model x:
First-principles (PBE) data for a relaxed LiTePbI crystal, as listed in the Alexandria database.

The structure in extended XYZ format:
```
4
Lattice="5.5906 0.0000 0.0000 2.7953 4.8416 0.0000 2.7953 1.6139 4.5647" Properties=species:S:1:pos:R:3 pbc="T T T"
Pb 2.7953 1.6139 1.1412
I 0.0000 0.0000 0.0000
Te 5.5906 3.2277 2.2823
Li 8.3859 4.8416 3.4235
```

Results
As for the space group: No. 216. The crystal system is cubic.

What should be chosen as the least stable of them? Choose model x.

Model w:
First-principles (PBE) data for a relaxed LiTePbI2 crystal, as listed in the Alexandria database.

The structure in extended XYZ format:
```
5
Lattice="6.3129 0.0000 0.0000 0.0000 6.3129 0.0000 0.0000 0.0000 6.0028" Properties=species:S:1:pos:R:3 pbc="T T T"
Pb 0.0000 0.0000 0.0000
I 0.0000 3.1565 0.0000
I 3.1565 0.0000 0.0000
Te 0.0000 0.0000 3.0014
Li 3.1565 3.1565 3.0014
```

Results
As for the space group: No. 123. The crystal system is tetragonal.

Model x:
First-principles (PBE) data for a relaxed LiTePbI2 crystal, as listed in the Alexandria database.

The structure in extended XYZ format:
```
5
Lattice="-1.8023 -4.5198 2.3841 4.9175 -2.2214 -0.4939 1.3980 2.0119 4.8710" Properties=species:S:1:pos:R:3 pbc="T T T"
Pb 2.2566 -2.3647 3.3806
I 2.4588 -1.1107 -0.2469
I -0.9012 -2.2599 1.1921
Te 0.6990 1.0059 2.4355
Li 0.0000 0.0000 0.0000
```

Results
As for the space group: No. 123. The crystal system is tetragonal.

What should be chosen as the least stable of them? Choose model w.

Model w:
First-principles (PBE) data for a relaxed LiPdI3 crystal, as listed in the Alexandria database.

The structure in extended XYZ format:
```
10
Lattice="4.4720 0.0000 0.0000 0.0000 7.6267 -0.8235 0.0000 -3.4223 10.6541" Properties=species:S:1:pos:R:3 pbc="T T T"
Li 1.1180 -0.3762 6.5685
Li 3.3540 4.5806 3.2621
Pd 1.1180 0.5856 1.5581
Pd 3.3540 3.6188 8.2725
I 3.3540 5.2524 6.0688
I 3.3540 1.4553 6.7438
I 1.1180 -1.0480 3.7618
I 1.1180 2.7491 3.0868
I 1.1180 2.7141 9.7066
I 3.3540 1.4903 0.1240
```

Results
As for the space group: No. 11. The crystal system is monoclinic.

Model x:
First-principles (PBE) data for a relaxed LiPdI3 crystal, as listed in the Alexandria database.

The structure in extended XYZ format:
```
5
Lattice="-5.5290 0.2263 -0.5911 -0.5960 -0.1101 5.5320 0.2133 5.5594 0.1336" Properties=species:S:1:pos:R:3 pbc="T T T"
I -0.2980 -0.0550 2.7660
I 0.1066 2.7797 0.0668
I -2.7645 0.1131 -0.2956
Pd 0.0000 0.0000 0.0000
Li -2.9558 2.8378 2.5372
```

Results
As for the space group: No. 221. The crystal system is cubic.

What should be chosen as the least stable of them? Choose model x.

Model w:
First-principles (PBE) data for a relaxed LiPd2I crystal, as listed in the Alexandria database.

The structure in extended XYZ format:
```
8
Lattice="4.0061 0.0000 0.0000 0.0000 4.0061 0.0000 2.0030 2.0030 9.4717" Properties=species:S:1:pos:R:3 pbc="T T T"
I 0.0000 0.0000 0.0000
I 4.0061 2.0030 4.7359
Pd 2.9886 1.0015 2.3679
Pd 1.0175 3.0045 2.3679
Pd 3.0045 3.0205 7.1038
Pd 5.0076 4.9916 7.1038
Li 2.0030 2.0030 0.0000
Li 2.0030 4.0061 4.7359
```

Results
As for the space group: No. 122. The crystal system is tetragonal.

Model x:
First-principles (PBE) data for a relaxed LiPd2I crystal, as listed in the Alexandria database.

The structure in extended XYZ format:
```
4
Lattice="2.1120 -0.7296 4.0744 -2.3522 0.5562 3.9688 -1.1274 -3.7029 2.5712" Properties=species:S:1:pos:R:3 pbc="T T T"
I -0.6838 -1.9382 5.3073
Pd -0.3419 -0.9691 2.6536
Pd -1.0257 -2.9072 7.9609
Li 0.0000 0.0000 0.0000
```

Results
As for the space group: No. 225. The crystal system is cubic.

What should be chosen as the least stable of them? Choose model x.